Entry 1:
Material: Ce8Nd2O19
Method: DFT, GGA-PBEsol
State: relaxed

abc: 3.8300 3.8300 27.2532
angles: 90.00 90.00 90.00
Last column: nearest neighbours and their distance in Å.
Space group P-4m2 (No. 115)
Asymmetric unit:
Ce  0.0000  0.5000  0.0494 [2 per cell]  8 O 2.34
Ce  0.0000  0.5000  0.2471 [2 per cell]  8 O 2.31-2.37
Ce  0.0000  0.5000  0.6540 [2 per cell]  8 O 2.28-2.42
Ce  0.0000  0.5000  0.8517 [2 per cell]  8 O 2.33-2.35
Nd  0.0000  0.5000  0.4421 [2 per cell]  6 O 2.23-2.48
O  0.0000  0.0000  0.0000 [1 per cell]  4 Ce 2.34
O  0.0000  0.0000  0.0991 [2 per cell]  4 Ce 2.34
O  0.0000  0.0000  0.1984 [2 per cell]  4 Ce 2.33-2.35
O  0.0000  0.0000  0.2984 [2 per cell]  4 Ce 2.31-2.37
O  0.0000  0.0000  0.4001 [2 per cell]  2 Nd 2.23, 2 Ce 2.42
O  0.5000  0.5000  0.0000 [1 per cell]  4 Ce 2.34
O  0.5000  0.5000  0.0985 [2 per cell]  4 Ce 2.34-2.35
O  0.5000  0.5000  0.1967 [2 per cell]  4 Ce 2.33-2.36
O  0.5000  0.5000  0.2944 [2 per cell]  4 Ce 2.31-2.38
O  0.5000  0.5000  0.3912 [2 per cell]  2 Ce 2.28, 2 Nd 2.36
O  0.5000  0.5000  0.5000 [1 per cell]  4 Nd 2.48

Results
DFT total energy (eV/atom): -9.05
Uncorrected formation energy (eV per atom): -3.437

Entry 2:
Material: Ce2Nd2O7
Method: DFT, GGA-PBEsol
State: relaxed

abc: 10.9830 10.9830 10.9830
angles: 90.00 90.00 90.00
Last column: nearest neighbours and their distance in Å.
Space group Fd-3m (No. 227, origin choice 2)
Asymmetric unit:
Ce  0.0000  0.0000  0.0000 [16 per cell]  6 O 2.22
Nd  0.0000  0.0000  0.5000 [16 per cell]  8 O 2.38-2.56
O  0.0985  0.3750  0.3750 [48 per cell]  2 Ce 2.22
O  0.1250  0.1250  0.6250 [8 per cell]  4 Nd 2.38

Results
DFT total energy (eV/atom): -8.85
ΔE to the lowest computed polymorph (meV/atom): 0
Uncorrected formation energy (eV per atom): -3.373

Entry 3:
Material: Ce2Nd2O7
Method: DFT, GGA-PBEsol
State: relaxed

abc: 7.8269 3.7742 11.0653
angles: 90.00 90.00 90.00
Last column: nearest neighbours and their distance in Å.
Space group Pmma (No. 51)
Asymmetric unit:
Ce  0.0000  0.0000  0.0000 [2 per cell]  8 O 2.30-2.45
Ce  0.2500  0.5000  0.2494 [2 per cell]  6 O 2.29-2.39
Nd  0.0000  0.0000  0.5000 [2 per cell]  6 O 2.36-2.38
Nd  0.2500  0.5000  0.7726 [2 per cell]  6 O 2.25-2.40
O  0.0153  0.5000  0.1190 [4 per cell]  3 Ce 2.30-2.34, 1 Nd 2.40
O  0.0367  0.5000  0.6288 [4 per cell]  3 Nd 2.31-2.38
O  0.2500  0.0000  0.1329 [2 per cell]  4 Ce 2.29-2.45
O  0.2500  0.0000  0.3814 [2 per cell]  2 Nd 2.36, 2 Ce 2.39
O  0.2500  0.0000  0.8836 [2 per cell]  2 Nd 2.25, 2 Ce 2.34

Results
DFT total energy (eV/atom): -8.83
ΔE to the lowest computed polymorph (meV/atom): 18
Uncorrected formation energy (eV per atom): -3.355

Entry 4:
Material: CeNd4Zr3O14
Method: DFT, GGA-PBEsol
State: relaxed

abc: 7.6177 7.6177 18.4248
angles: 90.00 90.00 120.00
Last column: nearest neighbours and their distance in Å.
Space group R-3m (No. 166, hexagonal axes)
Asymmetric unit:
Ce  0.0000  0.0000  0.0000 [3 per cell]  6 O 2.22
Nd  0.0000  0.0000  0.5000 [3 per cell]  2 O 2.29
Nd  0.0000  0.5000  0.0000 [9 per cell]  6 O 2.33-2.51
Zr  0.0000  0.5000  0.5000 [9 per cell]  6 O 2.09-2.10
O  0.0000  0.0000  0.3759 [6 per cell]  4 Nd 2.29-2.33
O  0.0322  0.5161  0.6134 [18 per cell]  1 Zr 2.10, 1 Ce 2.22
O  0.0553  0.5276  0.8573 [18 per cell]  2 Zr 2.09

Results
DFT total energy (eV/atom): -9.27
Uncorrected formation energy (eV per atom): -3.456

Entry 5:
Material: CeNdS2
Method: DFT, GGA-PBEsol
State: relaxed

abc: 3.9936 3.9936 19.4932
angles: 90.00 90.00 120.00
Last column: nearest neighbours and their distance in Å.
Space group R-3m (No. 166, hexagonal axes)
Asymmetric unit:
Ce  0.0000  0.0000  0.0000 [3 per cell]  6 S 2.81
Nd  0.0000  0.0000  0.5000 [3 per cell]  6 S 2.84
S  0.0000  0.0000  0.2514 [6 per cell]  3 Ce 2.81, 3 Nd 2.84

Results
DFT total energy (eV/atom): -7.23
Uncorrected formation energy (eV per atom): -2.100

Entry 6:
Material: CeNi2
Method: DFT, GGA-PBEsol
State: relaxed

abc: 7.0507 7.0507 7.0507
angles: 90.00 90.00 90.00
Last column: nearest neighbours and their distance in Å.
Space group Fd-3m (No. 227, origin choice 2)
Asymmetric unit:
Ce  0.1250  0.1250  0.1250 [8 per cell]  12 Ni 2.92, 4 Ce 3.05
Ni  0.0000  0.0000  0.5000 [16 per cell]  6 Ni 2.49

Results
DFT total energy (eV/atom): -6.68
E_form (meV per atom): -372

- Which formula does entry 2 have?
  Ce2Nd2O7

- What is the formula in the second record?
  Ce2Nd2O7